The following is a DFT calculation (GGA-PBEsol) of an optimized crystal structure of MgZn2.

For the total moment, the calculation gives 0.00 μB per atom. The value obtained for the calculated volume is 195.4 Å³/cell. The calculation puts the total energy at -1.65 eV/atom. The calculation puts the density of states at the Fermi level at 0.2704 states/eV/atom.

The space group is C2/m (No. 12) and the conventional cell measures 10.166, 2.869 and 7.124 Å, with angles of 90.00, 109.90 and 90.00 degrees. The asymmetric unit holds Mg at (0.164, 0.000, 0.123), Zn at (0.043, 0.500, 0.760) and Zn at (0.145, 0.000, 0.523).

=====

The following is a DFT calculation (GGA-PBEsol) of an optimized crystal structure of Mg3Zn.

For the total moment, the calculation gives 0.00 μB per atom. The value obtained for the calculated volume is 158.6 Å³/cell. The calculation puts the total energy at -1.68 eV/atom. The calculation puts the density of states at the Fermi level at 0.3391 states/eV/atom.

The space group is I4/mmm (No. 139) and the conventional cell measures 4.257, 4.257 and 8.753 Å, with angles of 90.00, 90.00 and 90.00 degrees. The asymmetric unit holds Mg at (0.000, 0.000, 0.000), Mg at (0.000, 0.500, 0.250) and Zn at (0.000, 0.000, 0.500).

=====

The following is a DFT calculation (GGA-PBEsol) of an optimized crystal structure of MgZn2.

For the total moment, the calculation gives 0.00 μB per atom. The value obtained for the calculated volume is 216.0 Å³/cell. The calculation puts the total energy at -1.57 eV/atom. The calculation puts the density of states at the Fermi level at 0.3146 states/eV/atom.

The space group is I4_1/amd (No. 141, origin choice 2) and the conventional cell measures 3.620, 3.620 and 16.485 Å, with angles of 90.00, 90.00 and 90.00 degrees. The asymmetric unit holds Mg at (0.000, 0.250, 0.375) and Zn at (0.000, 0.250, 0.800).

=====

The following is a DFT calculation (GGA-PBEsol) of an optimized crystal structure of MgZn.

For the total moment, the calculation gives 0.00 μB per atom. The value obtained for the calculated volume is 34.5 Å³/cell. The calculation puts the total energy at -1.71 eV/atom. The calculation puts the density of states at the Fermi level at 0.3663 states/eV/atom.

The space group is Pm-3m (No. 221) and the conventional cell measures 3.256, 3.256 and 3.256 Å, with angles of 90.00, 90.00 and 90.00 degrees. The asymmetric unit holds Mg at (0.000, 0.000, 0.000) and Zn at (0.500, 0.500, 0.500).

=====

The following is a DFT calculation (GGA-PBEsol) of an optimized crystal structure of Mg3Zn.

For the total moment, the calculation gives 0.00 μB per atom. The value obtained for the calculated volume is 159.3 Å³/cell. The calculation puts the total energy at -1.69 eV/atom. The calculation puts the density of states at the Fermi level at 0.3512 states/eV/atom.

The space group is Immm (No. 71) and the conventional cell measures 3.278, 4.880 and 9.961 Å, with angles of 90.00, 90.00 and 90.00 degrees. The asymmetric unit holds Mg at (0.000, 0.000, 0.000), Mg at (0.000, 0.500, 0.226) and Zn at (0.000, 0.000, 0.500).

=====

The following is a DFT calculation (GGA-PBEsol) of an optimized crystal structure of MgZn.

For the total moment, the calculation gives 0.00 μB per atom. The value obtained for the calculated volume is 225.5 Å³/cell. The calculation puts the total energy at -1.68 eV/atom. The calculation puts the density of states at the Fermi level at 0.3181 states/eV/atom.

The space group is R-3m (No. 166, hexagonal axes) and the conventional cell measures 4.3126, 4.3126 and 13.9976 Å, with angles of 90.00, 90.00 and 120.00 degrees. The asymmetric unit holds Mg at (0.0000, 0.0000, 0.1052) and Zn at (0.0000, 0.0000, 0.3202).

=====

The following is a DFT calculation (GGA-PBEsol) of an optimized crystal structure of Mg5Zn3.

For the total moment, the calculation gives 0.00 μB per atom. The value obtained for the calculated volume is 604.3 Å³/cell. As for the energy above the lowest structure with this stoichiometry: 11 meV per atom. The calculation puts the density of states at the Fermi level at 0.3776 states/eV/atom.

The space group is I4/mcm (No. 140) and the conventional cell measures 10.615, 10.615 and 5.363 Å, with angles of 90.00, 90.00 and 90.00 degrees. The asymmetric unit holds Mg at (0.000, 0.500, 0.250), Mg at (0.079, 0.219, 0.000), Zn at (0.000, 0.000, 0.250) and Zn at (0.164, 0.336, 0.500).

=====

The following is a DFT calculation (GGA-PBEsol) of an optimized crystal structure of Mg3Zn.

For the total moment, the calculation gives 0.00 μB per atom. The value obtained for the calculated volume is 79.3 Å³/cell. The calculation puts the total energy at -1.68 eV/atom. The calculation puts the density of states at the Fermi level at 0.3460 states/eV/atom.

The space group is Pmm2 (No. 25) and the conventional cell measures 3.096, 4.874 and 5.253 Å, with angles of 90.00, 90.00 and 90.00 degrees. The asymmetric unit holds Mg at (0.000, 0.000, 0.000), Mg at (0.000, 0.500, 0.344), Mg at (0.500, 0.500, 0.829) and Zn at (0.500, 0.000, 0.503).

=====

Question: The lowest calculated volume belongs to which entry?
Answer: number 4